Record 1
K2RuRhO6 after structural relaxation. Source: the Alexandria database, functional PBE. Values from VASP.

Results
Its energy relative to the elements, uncorrected is -961 meV per atom. Its space group is I4/mmm, No. 139. Its calculated volume is 123.6 Å³/cell. As for the density of states at the Fermi level: 0.751 states/eV per atom.

```
&SYSTEM
  ibrav = 0, nat = 10, ntyp = 4
/
ATOMIC_SPECIES
K 39.10 K.upf
Ru 101.07 Ru.upf
Rh 102.91 Rh.upf
O 16.00 O.upf
CELL_PARAMETERS angstrom
-2.798 2.798 3.946
2.798 -2.798 3.946
2.798 2.798 -3.946
ATOMIC_POSITIONS crystal
K 0.250 0.750 0.500
K 0.750 0.250 0.500
Ru 0.000 0.000 0.000
Rh 0.500 0.500 0.000
O 0.245 0.245 0.000
O 0.245 0.245 0.489
O 0.245 0.755 0.000
O 0.755 0.245 0.000
O 0.755 0.755 0.000
O 0.755 0.755 0.511
```

Record 2
KRu2RhO8 after structural relaxation. Source: the Alexandria database, functional PBE. Values from VASP.

Results
Its energy relative to the elements, uncorrected is -890 meV per atom. Its space group is P-3, No. 147. Its calculated volume is 195.8 Å³/cell. As for the density of states at the Fermi level: 0.625 states/eV per atom.

```
&SYSTEM
  ibrav = 0, nat = 12, ntyp = 4
/
ATOMIC_SPECIES
K 39.10 K.upf
Ru 101.07 Ru.upf
Rh 102.91 Rh.upf
O 16.00 O.upf
CELL_PARAMETERS angstrom
5.142 0.000 0.000
-2.571 4.453 0.000
0.000 0.000 8.550
ATOMIC_POSITIONS crystal
K 0.000 0.000 0.000
Ru 0.333 0.667 0.717
Ru 0.667 0.333 0.283
Rh 0.000 0.000 0.500
O 0.019 0.329 0.638
O 0.310 0.981 0.638
O 0.329 0.310 0.362
O 0.333 0.667 0.923
O 0.667 0.333 0.077
O 0.671 0.690 0.638
O 0.690 0.019 0.362
O 0.981 0.671 0.362
```

Record 3
KRhS2O8 after structural relaxation. Source: the Alexandria database, functional PBE. Values from VASP.

Results
Its energy relative to the elements, uncorrected is -1329 meV per atom. Its space group is C2/m, No. 12. Its calculated volume is 170.7 Å³/cell.

```
&SYSTEM
  ibrav = 0, nat = 12, ntyp = 4
/
ATOMIC_SPECIES
K 39.10 K.upf
Rh 102.91 Rh.upf
S 32.06 S.upf
O 16.00 O.upf
CELL_PARAMETERS angstrom
4.080 -2.613 0.000
4.080 2.613 0.000
-0.761 0.000 8.006
ATOMIC_POSITIONS crystal
K 0.000 0.000 0.000
Rh 0.000 0.000 0.500
S 0.373 0.373 0.696
S 0.627 0.627 0.304
O 0.248 0.716 0.688
O 0.251 0.251 0.546
O 0.284 0.752 0.312
O 0.308 0.308 0.858
O 0.692 0.692 0.142
O 0.716 0.248 0.688
O 0.749 0.749 0.454
O 0.752 0.284 0.312
```

Record 4
K2SbRh2O6 after structural relaxation. Source: the Alexandria database, functional PBE. Values from VASP.

Results
Its energy relative to the elements, uncorrected is -1147 meV per atom. Its space group is C2/m, No. 12. Its calculated volume is 164.9 Å³/cell. As for the density of states at the Fermi level: 0.395 states/eV per atom.

```
&SYSTEM
  ibrav = 0, nat = 11, ntyp = 4
/
ATOMIC_SPECIES
K 39.10 K.upf
Sb 121.76 Sb.upf
Rh 102.91 Rh.upf
O 16.00 O.upf
CELL_PARAMETERS angstrom
2.783 -4.842 0.000
2.783 4.842 0.000
-2.118 0.000 6.119
ATOMIC_POSITIONS crystal
K 0.174 0.826 0.000
K 0.826 0.174 0.000
Sb 0.000 0.000 0.500
Rh 0.333 0.667 0.500
Rh 0.667 0.333 0.500
O 0.061 0.391 0.666
O 0.265 0.265 0.334
O 0.391 0.061 0.666
O 0.609 0.939 0.334
O 0.735 0.735 0.666
O 0.939 0.609 0.334
```